Record 1
VASP calculation (PBE) on a relaxed structure of KPtRh.

The structure belongs to space group I4mm (No. 107); the cell edges are 3.501, 3.501 and 11.648 Å and the angles 90.00°, 90.00° and 90.00°. The asymmetric unit holds K at (0.000, 0.000, 0.000), Pt at (0.000, 0.000, 0.280) and Rh at (0.000, 0.000, 0.726).

Its relative energy among the computed polymorphs is 125 meV/atom. The formation enthalpy at 0 K is 0.2527 eV per atom. The density of states at the Fermi level comes out at 6.13 states/eV per cell. As for the size of the total moment: 0.00 μB per formula unit. The theoretical density comes out at 7.8 Mg/m³.

Record 2
VASP calculation (PBE) on a relaxed structure of KPt2Rh.

The structure belongs to space group R3m (No. 160, hexagonal axes); the cell edges are 2.8225, 2.8225 and 30.6025 Å and the angles 90.00°, 90.00° and 120.00°. The asymmetric unit holds K at (0.0000, 0.0000, 0.0000), Pt at (0.0000, 0.0000, 0.2430), Pt at (0.0000, 0.0000, 0.4991) and Rh at (0.0000, 0.0000, 0.7598).

The formation enthalpy at 0 K is 0.3466 eV per atom. The density of states at the Fermi level comes out at 12.11 states/eV per cell. As for the size of the total moment: 0.87 μB per formula unit. The theoretical density comes out at 12.6 Mg/m³.

Record 3
VASP calculation (PBE) on a relaxed structure of KPtRh2.

The structure belongs to space group I-4m2 (No. 119); the cell edges are 4.153, 4.153 and 8.069 Å and the angles 90.00°, 90.00° and 90.00°. The asymmetric unit holds K at (0.000, 0.000, 0.000), Pt at (0.000, 0.500, 0.750), Rh at (0.000, 0.000, 0.500) and Rh at (0.000, 0.500, 0.250).

Its relative energy among the computed polymorphs is 464 meV/atom. The formation enthalpy at 0 K is 0.7507 eV per atom. The density of states at the Fermi level comes out at 8.96 states/eV per cell. As for the size of the total moment: 0.00 μB per formula unit. The theoretical density comes out at 10.5 Mg/m³.

Record 4
VASP calculation (PBE) on a relaxed structure of K2PtRh.

The structure belongs to space group I-42d (No. 122); the cell edges are 12.069, 12.069 and 4.818 Å and the angles 90.00°, 90.00° and 90.00°. The asymmetric unit holds K at (0.032, 0.250, 0.125), Pt at (0.000, 0.000, 0.500) and Rh at (0.000, 0.000, 0.000).

Its relative energy among the computed polymorphs is 274 meV/atom. The formation enthalpy at 0 K is 0.4633 eV per atom. The density of states at the Fermi level comes out at 16.53 states/eV per cell. As for the size of the total moment: 0.00 μB per formula unit. The theoretical density comes out at 3.6 Mg/m³.

Look up the theoretical density of the first one.
7.8 Mg/m³